No. 1
Here is crystalline Na3HfW at its relaxed geometry from Alexandria. Energies are from GGA-PBEsol.

Calculated values
Space-group type: Pm-3m, No. 221
Calculated volume, A^3/atom: 35.985
E_form, eV/atom: 2.707

POSCAR file:
```
Na3HfW
1.0
5.645 0.000 0.000
0.000 5.645 0.000
0.000 0.000 5.645
W Na Hf
1 3 1
Cartesian
2.823 2.823 2.823
2.823 0.000 0.000
0.000 0.000 2.823
0.000 2.823 0.000
0.000 0.000 0.000
```

---

No. 2
Here is crystalline Na2YHf at its relaxed geometry from Alexandria. Energies are from GGA-PBEsol.

Calculated values
Space-group type: Fm-3m, No. 225
Calculated volume, A^3/atom: 26.345
E_form, eV/atom: 0.846

POSCAR file:
```
Na2YHf
1.0
-0.270 -0.353 5.283
-4.573 -1.316 2.339
-0.525 -4.740 2.317
Y Na Hf
1 2 1
Cartesian
0.000 0.000 0.000
-1.342 -1.602 2.485
-4.026 -4.807 7.454
-2.684 -3.204 4.969
```

---

No. 3
Here is crystalline HfNbNi2 at its relaxed geometry from Alexandria. Energies are from GGA-PBEsol.

Calculated values
Space-group type: Fm-3m, No. 225
Calculated volume, A^3/atom: 14.752
E_form, eV/atom: -0.211

POSCAR file:
```
HfNbNi2
1.0
4.370 0.000 0.000
2.185 3.784 0.000
2.185 1.261 3.568
Nb Ni Hf
1 2 1
Cartesian
0.000 0.000 0.000
6.555 3.784 2.676
2.185 1.261 0.892
4.370 2.523 1.784
```

---

No. 4
Here is crystalline Hf3NbO at its relaxed geometry from Alexandria. Energies are from GGA-PBEsol.

Calculated values
Energy relative to the elements, uncorrected, eV per atom: -1.077
Space-group type: Pm-3m, No. 221
Calculated volume, A^3/atom: 16.997

POSCAR file:
```
Hf3NbO
1.0
4.397 0.000 0.000
0.000 4.397 0.000
0.000 0.000 4.397
O Nb Hf
1 1 3
Cartesian
0.000 0.000 0.000
2.198 2.198 2.198
2.198 0.000 0.000
0.000 2.198 0.000
0.000 0.000 2.198
```

---

No. 5
Here is crystalline HfNbOs3 at its relaxed geometry from Alexandria. Energies are from GGA-PBEsol.

Calculated values
Space-group type: Pm-3m, No. 221
Calculated volume, A^3/atom: 20.007
E_form, eV/atom: 2.196

POSCAR file:
```
HfNbOs3
1.0
-3.628 2.560 -1.354
-2.101 -3.820 -1.595
-1.994 -0.634 4.144
Os Hf Nb
3 1 1
Cartesian
-1.814 1.280 -0.677
-1.050 -1.910 -0.798
-0.997 -0.317 2.072
0.000 0.000 0.000
-3.861 -0.947 0.597
```

---

No. 6
Here is crystalline SrHf2NbOs at its relaxed geometry from Alexandria. Energies are from GGA-PBEsol.

Calculated values
Space-group type: P4/mmm, No. 123
Calculated volume, A^3/atom: 21.955
E_form, eV/atom: 2.468

POSCAR file:
```
SrHf2NbOs
1.0
-2.435 -3.555 -1.678
1.406 -2.744 3.773
-3.896 1.477 2.526
Hf Sr Os Nb
2 1 1 1
Cartesian
0.703 -1.372 1.886
-1.948 0.738 1.263
0.000 0.000 0.000
-1.218 -1.777 -0.839
-2.462 -2.411 2.311
```

---

No. 7
Here is crystalline Hf2NbP2 at its relaxed geometry from Alexandria. Energies are from GGA-PBEsol.

Calculated values
Space-group type: P4/mbm, No. 127
Calculated volume, A^3/atom: 16.130
E_form, eV/atom: -1.126

POSCAR file:
```
Hf2NbP2
1.0
-3.306 -0.336 1.295
2.192 -4.585 4.405
1.250 4.879 4.457
P Hf Nb
4 4 2
Cartesian
1.577 -2.252 3.440
0.757 1.118 2.221
1.866 2.545 5.422
2.686 -0.825 6.640
0.605 -2.362 5.841
-0.468 2.319 4.316
-0.710 -0.923 2.858
0.847 0.880 7.298
1.721 0.147 4.431
0.000 0.000 0.000
```

---

No. 8
Here is crystalline Hf2NbPt at its relaxed geometry from Alexandria. Energies are from GGA-PBEsol.

Calculated values
Space-group type: Fm-3m, No. 225
Calculated volume, A^3/atom: 17.826
E_form, eV/atom: -0.523

POSCAR file:
```
Hf2NbPt
1.0
-3.507 -2.346 1.966
-0.051 -4.652 -0.133
0.730 -2.448 3.891
Hf Nb Pt
2 1 1
Cartesian
-2.121 -7.085 4.293
-0.707 -2.362 1.431
0.000 0.000 0.000
-1.414 -4.723 2.862
```

---

No. 9
Here is crystalline Rb3HfNb at its relaxed geometry from Alexandria. Energies are from GGA-PBEsol.

Calculated values
Space-group type: Pm-3m, No. 221
Calculated volume, A^3/atom: 58.919
E_form, eV/atom: 2.235

POSCAR file:
```
Rb3HfNb
1.0
-1.454 6.396 -1.117
-4.604 -0.208 4.799
4.579 1.821 4.471
Hf Rb Nb
1 3 1
Cartesian
-0.739 4.005 4.077
-0.727 3.198 -0.558
2.289 0.911 2.236
-2.302 -0.104 2.400
0.000 0.000 0.000
```

---

No. 10
Here is crystalline HfTi2NbRh at its relaxed geometry from Alexandria. Energies are from GGA-PBEsol.

Calculated values
Space-group type: P4/mmm, No. 123
Calculated volume, A^3/atom: 20.445
E_form, eV/atom: 1.122

POSCAR file:
```
HfTi2NbRh
1.0
-3.393 2.560 1.556
-1.754 -3.604 2.105
2.677 1.075 4.070
Ti Hf Nb Rh
2 1 1 1
Cartesian
-0.877 -1.802 1.052
-1.697 1.280 0.778
1.339 0.537 2.035
0.000 0.000 0.000
-1.235 0.016 3.866
```

---

No. 11
Here is crystalline YHfNb2Rh at its relaxed geometry from Alexandria. Energies are from GGA-PBEsol.

Calculated values
Space-group type: P4/mmm, No. 123
Calculated volume, A^3/atom: 23.446
E_form, eV/atom: 0.746

POSCAR file:
```
YHfNb2Rh
1.0
4.835 0.000 0.000
0.000 4.835 0.000
0.000 0.000 5.015
Nb Y Rh Hf
2 1 1 1
Cartesian
0.000 2.417 0.000
2.417 0.000 0.000
0.000 0.000 2.508
0.000 0.000 0.000
2.417 2.417 2.508
```

---

No. 12
Here is crystalline HfNbTc2S at its relaxed geometry from Alexandria. Energies are from GGA-PBEsol.

Calculated values
Energy relative to the elements, uncorrected, eV per atom: -0.008
Space-group type: P4/mmm, No. 123
Calculated volume, A^3/atom: 16.958

POSCAR file:
```
HfNbTc2S
1.0
4.340 0.000 0.000
0.000 4.340 0.000
0.000 0.000 4.501
Tc Hf Nb S
2 1 1 1
Cartesian
0.000 2.170 0.000
2.170 0.000 0.000
2.170 2.170 2.251
0.000 0.000 2.251
0.000 0.000 0.000
```

---

No. 13
Here is crystalline SrHf2NbSb at its relaxed geometry from Alexandria. Energies are from GGA-PBEsol.

Calculated values
Energy relative to the elements, uncorrected, eV per atom: 0.851
Space-group type: P4/mmm, No. 123
Calculated volume, A^3/atom: 28.562

POSCAR file:
```
SrHf2NbSb
1.0
4.989 0.000 0.000
0.000 4.989 0.000
0.000 0.000 5.738
Hf Nb Sr Sb
2 1 1 1
Cartesian
2.494 0.000 0.000
0.000 2.494 0.000
0.000 0.000 0.000
0.000 0.000 2.869
2.494 2.494 2.869
```

---

No. 14
Here is crystalline HfScNb2 at its relaxed geometry from Alexandria. Energies are from GGA-PBEsol.

Calculated values
Space-group type: Fm-3m, No. 225
Calculated volume, A^3/atom: 19.170
E_form, eV/atom: 0.219

POSCAR file:
```
HfScNb2
1.0
-3.658 2.136 2.190
-4.170 -2.271 0.441
-1.440 -1.531 4.280
Nb Sc Hf
2 1 1
Cartesian
-2.317 -0.417 1.728
-6.951 -1.250 5.183
0.000 0.000 0.000
-4.634 -0.833 3.455
```

---

No. 15
Here is crystalline HfSc3Nb at its relaxed geometry from Alexandria. Energies are from GGA-PBEsol.

Calculated values
Space-group type: Pm-3m, No. 221
Calculated volume, A^3/atom: 24.578
E_form, eV/atom: 1.266

POSCAR file:
```
HfSc3Nb
1.0
4.972 0.000 0.000
0.000 4.972 0.000
0.000 0.000 4.972
Nb Hf Sc
1 1 3
Cartesian
2.486 2.486 2.486
0.000 0.000 0.000
2.486 0.000 0.000
0.000 2.486 0.000
0.000 0.000 2.486
```

---

No. 16
Here is crystalline Hf2ScNbTl at its relaxed geometry from Alexandria. Energies are from GGA-PBEsol.

Calculated values
Space-group type: P4/mmm, No. 123
Calculated volume, A^3/atom: 23.109
E_form, eV/atom: 1.293

POSCAR file:
```
Hf2ScNbTl
1.0
4.614 0.000 0.000
0.000 5.004 0.000
0.000 0.000 5.004
Hf Sc Tl Nb
2 1 1 1
Cartesian
0.000 0.000 2.502
0.000 2.502 0.000
0.000 0.000 0.000
2.307 2.502 2.502
2.307 0.000 0.000
```

---

No. 17
Here is crystalline HfTa2Nb at its relaxed geometry from Alexandria. Energies are from GGA-PBEsol.

Calculated values
Space-group type: Fm-3m, No. 225
Calculated volume, A^3/atom: 18.373
E_form, eV/atom: 0.098

POSCAR file:
```
HfTa2Nb
1.0
4.702 0.000 0.000
2.351 4.072 0.000
2.351 1.357 3.839
Nb Ta Hf
1 2 1
Cartesian
0.000 0.000 0.000
7.052 4.072 2.879
2.351 1.357 0.960
4.702 2.714 1.919
```

---

No. 18
Here is crystalline HfNbTe2 at its relaxed geometry from Alexandria. Energies are from GGA-PBEsol.

Calculated values
Energy relative to the elements, uncorrected, eV per atom: 0.247
Space-group type: I-42d, No. 122
Calculated volume, A^3/atom: 23.686
Polymorph energy (0 for the lowest one), meV per atom: 626

POSCAR file:
```
HfNbTe2
1.0
-2.408 -3.770 0.214
1.040 -0.418 4.336
-6.973 7.116 0.044
Te Hf Nb
4 2 2
Cartesian
-3.436 -1.638 1.822
-5.390 4.809 0.646
-1.761 -0.038 3.888
-6.095 2.724 2.833
-3.309 2.302 3.328
0.000 0.000 0.000
-0.684 -2.094 2.275
-5.033 0.626 1.267
```

---

No. 19
Here is crystalline HfNbTe2 at its relaxed geometry from Alexandria. Energies are from GGA-PBEsol.

Calculated values
Energy relative to the elements, uncorrected, eV per atom: -0.379
Space-group type: Fm-3m, No. 225
Calculated volume, A^3/atom: 20.409
Polymorph energy (0 for the lowest one), meV per atom: 0

POSCAR file:
```
HfNbTe2
1.0
-4.076 -2.015 -1.742
0.015 -2.128 -4.379
-0.363 -4.843 -0.355
Te Nb Hf
2 1 1
Cartesian
-1.106 -2.246 -1.619
-3.318 -6.739 -4.857
0.000 0.000 0.000
-2.212 -4.493 -3.238
```

---

No. 20
Here is crystalline Hf2TiNb at its relaxed geometry from Alexandria. Energies are from GGA-PBEsol.

Calculated values
Space-group type: Fm-3m, No. 225
Calculated volume, A^3/atom: 19.118
E_form, eV/atom: 0.104

POSCAR file:
```
Hf2TiNb
1.0
4.764 0.000 0.000
2.382 4.126 0.000
2.382 1.375 3.890
Hf Ti Nb
2 1 1
Cartesian
7.147 4.126 2.918
2.382 1.375 0.973
0.000 0.000 0.000
4.764 2.751 1.945
```